Record 1
The following is a DFT calculation (PBE) of a relaxed Pm11Cd9Co4 crystal.

The structure in CIF format:
```
data_Pm11Cd9Co4
_chemical_formula_sum 'Pm22 Cd18 Co8'
_cell_length_a 14.705
_cell_length_b 22.018
_cell_length_c 3.694
_cell_angle_alpha 90.00
_cell_angle_beta 90.00
_cell_angle_gamma 90.00
_space_group_name_H-M_alt 'C m m m'
_space_group_IT_number 65
_space_group_name_Hall '-C 2 2'
loop_
_atom_site_label
_atom_site_type_symbol
_atom_site_fract_x
_atom_site_fract_y
_atom_site_fract_z
Pm1 Pm 0.000 0.000 0.000
Pm2 Pm 0.000 0.160 0.000
Pm3 Pm 0.000 0.374 0.000
Pm4 Pm 0.187 0.500 0.000
Pm5 Pm 0.248 0.334 0.000
Cd1 Cd 0.000 0.500 0.500
Cd2 Cd 0.103 0.262 0.500
Cd3 Cd 0.149 0.070 0.500
Co1 Co 0.148 0.399 0.500
```



Record 2
The following is a DFT calculation (PBE) of a relaxed TiNbTl2Cu crystal.

The structure in CIF format:
```
data_TiNbTl2Cu
_chemical_formula_sum 'Ti1 Nb1 Tl2 Cu1'
_cell_length_a 4.816
_cell_length_b 4.816
_cell_length_c 4.915
_cell_angle_alpha 90.00
_cell_angle_beta 90.00
_cell_angle_gamma 90.00
_space_group_name_H-M_alt 'P 4/m m m'
_space_group_IT_number 123
_space_group_name_Hall '-P 4 2'
loop_
_atom_site_label
_atom_site_type_symbol
_atom_site_fract_x
_atom_site_fract_y
_atom_site_fract_z
Ti1 Ti 0.000 0.000 0.000
Nb1 Nb 0.500 0.500 0.000
Tl1 Tl 0.000 0.500 0.500
Cu1 Cu 0.500 0.500 0.500
```



| no. | formation enthalpy at 0 K (eV/atom) | spin magnetization (μB/atom) |
| --- | --- | --- |
| 1 | -0.2635 | 0.032 |
| 2 | 0.9663 | 0.000 |